{"formula": "Na2MnBRh", "functional": "PBE-GGA", "state": "relaxed", "volume_a3_per_cell": 130, "final_energy_ev_per_cell": -18.33, "ef_mev_per_atom": 1501, "lattice": [[-4.8816, -0.2807, 1.9790], [-0.1676, -5.1468, -1.1434], [1.7678, -0.9949, 4.2194]], "species": ["Rh", "Na", "Mn", "B", "Na"], "frac_coords": [[0.0000, 0.0000, 0.0000], [0.0000, 0.5000, 0.0000], [0.0000, 0.0000, 0.5000], [0.5000, 0.5000, 0.5000], [0.5000, 0.0000, 0.0000]]}